Record 1
TbHfMg4: relaxed, GGA-PBE.

Structure (CIF):
```
data_TbHfMg4
_chemical_formula_sum 'Tb4 Hf4 Mg16'
_symmetry_space_group_name_H-M 'F -4 3 m'
_symmetry_Int_Tables_number 216
_symmetry_space_group_name_Hall 'F -4 2 3'
_cell_length_a 8.293
_cell_length_b 8.293
_cell_length_c 8.293
_cell_angle_alpha 90.00
_cell_angle_beta 90.00
_cell_angle_gamma 90.00
loop_
_atom_site_label
_atom_site_type_symbol
_atom_site_fract_x
_atom_site_fract_y
_atom_site_fract_z
Tb1 Tb 0.000 0.000 0.000
Hf1 Hf 0.250 0.250 0.250
Mg1 Mg 0.124 0.124 0.624
```

Output
* formation energy: 0.11 eV/atom
* E_tot: -3.38 eV per atom

***

Record 2
Cd5Ge2Pd12: relaxed, GGA-PBE.

Structure (CIF):
```
data_Cd5Ge2Pd12
_chemical_formula_sum 'Cd10 Ge4 Pd24'
_symmetry_space_group_name_H-M 'C 1 2/m 1'
_symmetry_Int_Tables_number 12
_cell_length_a 12.914
_cell_length_b 7.756
_cell_length_c 6.481
_cell_angle_alpha 90.00
_cell_angle_beta 93.55
_cell_angle_gamma 90.00
loop_
_symmetry_equiv_pos_as_xyz
'x,y,z'
'-x,-y,-z'
'-x,y,-z'
'x,-y,z'
'x+1/2,y+1/2,z'
'-x+1/2,-y+1/2,-z'
'-x+1/2,y+1/2,-z'
'x+1/2,-y+1/2,z'
loop_
_atom_site_label
_atom_site_type_symbol
_atom_site_fract_x
_atom_site_fract_y
_atom_site_fract_z
Cd1 Cd 0.000 0.000 0.000
Cd2 Cd 0.198 0.500 0.467
Cd3 Cd 0.243 0.000 0.075
Ge1 Ge 0.000 0.262 0.500
Pd1 Pd 0.047 0.500 0.759
Pd2 Pd 0.094 0.000 0.385
Pd3 Pd 0.111 0.299 0.134
Pd4 Pd 0.159 0.194 0.737
```

Output
* formation energy: -0.32 eV/atom
* E_tot: -4.32 eV per atom

***

Record 3
LaGa3Co10: relaxed, GGA-PBE.

Structure (CIF):
```
data_LaGa3Co10
_chemical_formula_sum 'La8 Ga24 Co80'
_symmetry_space_group_name_H-M 'F m m 2'
_symmetry_Int_Tables_number 42
_symmetry_space_group_name_Hall 'F 2 -2'
_cell_length_a 11.271
_cell_length_b 11.352
_cell_length_c 11.634
_cell_angle_alpha 90.00
_cell_angle_beta 90.00
_cell_angle_gamma 90.00
loop_
_atom_site_label
_atom_site_type_symbol
_atom_site_fract_x
_atom_site_fract_y
_atom_site_fract_z
La1 La 0.250 0.250 0.000
Ga1 Ga 0.000 0.180 0.369
Ga2 Ga 0.179 0.000 0.622
Ga3 Ga 0.180 0.000 0.873
Co1 Co 0.000 0.000 0.247
Co2 Co 0.000 0.000 0.747
Co3 Co 0.000 0.116 0.928
Co4 Co 0.000 0.120 0.574
Co5 Co 0.000 0.177 0.131
Co6 Co 0.109 0.000 0.074
Co7 Co 0.112 0.000 0.423
Co8 Co 0.119 0.180 0.747
Co9 Co 0.181 0.119 0.245
```

Output
* formation energy: -0.18 eV/atom
* E_tot: -6.26 eV per atom

***

Record 4
La2GeRhO: relaxed, GGA-PBE.

Structure (CIF):
```
data_La2GeRhO
_chemical_formula_sum 'La2 Ge1 Rh1 O1'
_symmetry_space_group_name_H-M 'P 4/m m m'
_symmetry_Int_Tables_number 123
_symmetry_space_group_name_Hall '-P 4 2'
_cell_length_a 5.681
_cell_length_b 5.681
_cell_length_c 4.425
_cell_angle_alpha 90.00
_cell_angle_beta 90.00
_cell_angle_gamma 90.00
loop_
_atom_site_label
_atom_site_type_symbol
_atom_site_fract_x
_atom_site_fract_y
_atom_site_fract_z
La1 La 0.000 0.500 0.000
Ge1 Ge 0.000 0.000 0.000
Rh1 Rh 0.000 0.000 0.500
O1 O 0.500 0.500 0.500
```

Output
* E_tot: -5.57 eV per atom

***

Record 5
Na3YNb: relaxed, GGA-PBE.

Structure (CIF):
```
data_Na3YNb
_chemical_formula_sum 'Na3 Y1 Nb1'
_symmetry_space_group_name_H-M 'P m -3 m'
_symmetry_Int_Tables_number 221
_symmetry_space_group_name_Hall '-P 4 2 3'
_cell_length_a 5.655
_cell_length_b 5.655
_cell_length_c 5.655
_cell_angle_alpha 90.00
_cell_angle_beta 90.00
_cell_angle_gamma 90.00
loop_
_atom_site_label
_atom_site_type_symbol
_atom_site_fract_x
_atom_site_fract_y
_atom_site_fract_z
Na1 Na 0.000 0.000 0.500
Y1 Y 0.500 0.500 0.500
Nb1 Nb 0.000 0.000 0.000
```

Output
* formation energy: 1.37 eV/atom
* excess energy over the best structure of this formula in the dataset: 0 meV/atom
* E_tot: -2.73 eV per atom

***

Record 6
PrHg2Au9: relaxed, GGA-PBE.

Structure (CIF):
```
data_PrHg2Au9
_chemical_formula_sum 'Pr3 Hg6 Au27'
_symmetry_space_group_name_H-M 'R -3 m'
_symmetry_Int_Tables_number 166
_symmetry_space_group_name_Hall '-R 3 2"'
_cell_length_a 5.6549
_cell_length_b 5.6549
_cell_length_c 27.5410
_cell_angle_alpha 90.00
_cell_angle_beta 90.00
_cell_angle_gamma 120.00
loop_
_atom_site_label
_atom_site_type_symbol
_atom_site_fract_x
_atom_site_fract_y
_atom_site_fract_z
Pr1 Pr 0.0000 0.0000 0.0000
Hg1 Hg 0.0000 0.0000 0.1387
Au1 Au 0.0000 0.0000 0.3331
Au2 Au 0.0000 0.0000 0.5000
Au3 Au 0.0037 0.5018 0.9155
```

Output
* formation energy: -0.18 eV/atom
* E_tot: -3.09 eV per atom

***

Record 7
TlHPb2: relaxed, GGA-PBE.

Structure (CIF):
```
data_TlHPb2
_chemical_formula_sum 'Tl4 H4 Pb8'
_symmetry_space_group_name_H-M 'I -4 2 d'
_symmetry_Int_Tables_number 122
_symmetry_space_group_name_Hall 'I -4 2bw'
_cell_length_a 6.207
_cell_length_b 6.207
_cell_length_c 12.017
_cell_angle_alpha 90.00
_cell_angle_beta 90.00
_cell_angle_gamma 90.00
loop_
_atom_site_label
_atom_site_type_symbol
_atom_site_fract_x
_atom_site_fract_y
_atom_site_fract_z
Tl1 Tl 0.000 0.000 0.000
H1 H 0.000 0.000 0.500
Pb1 Pb 0.095 0.250 0.625
```

Output
* excess energy over the best structure of this formula in the dataset: 110 meV/atom
* E_tot: -2.97 eV per atom

***

Record 8
Nd2Sm3HoBi6: relaxed, GGA-PBE.

Structure (CIF):
```
data_Nd2Sm3HoBi6
_chemical_formula_sum 'Nd4 Sm6 Ho2 Bi12'
_symmetry_space_group_name_H-M 'C 1 2/m 1'
_symmetry_Int_Tables_number 12
_cell_length_a 19.869
_cell_length_b 4.561
_cell_length_c 9.118
_cell_angle_alpha 90.00
_cell_angle_beta 103.25
_cell_angle_gamma 90.00
loop_
_symmetry_equiv_pos_as_xyz
'x,y,z'
'-x,-y,-z'
'-x,y,-z'
'x,-y,z'
'x+1/2,y+1/2,z'
'-x+1/2,-y+1/2,-z'
'-x+1/2,y+1/2,-z'
'x+1/2,-y+1/2,z'
loop_
_atom_site_label
_atom_site_type_symbol
_atom_site_fract_x
_atom_site_fract_y
_atom_site_fract_z
Nd1 Nd 0.166 0.000 0.332
Sm1 Sm 0.000 0.500 0.500
Sm2 Sm 0.168 0.000 0.834
Ho1 Ho 0.000 0.500 0.000
Bi1 Bi 0.002 0.000 0.755
Bi2 Bi 0.165 0.500 0.080
Bi3 Bi 0.166 0.500 0.585
```

Output
* formation energy: -0.92 eV/atom
* E_tot: -5.21 eV per atom

***

- Which value of E_tot does entry 5 give?
  -2.73 eV per atom